No. 1
! Ba5Tl2Br2 | Alexandria | PBE | relaxed; values from VASP
&SYSTEM
  ibrav = 0, nat = 18, ntyp = 3
/
ATOMIC_SPECIES
Ba 137.33 Ba.upf
Tl 204.38 Tl.upf
Br 79.90 Br.upf
ATOMIC_POSITIONS crystal
Ba 0.000 0.000 0.000
Ba 0.500 0.500 0.000
Ba 0.469 0.156 0.735
Ba 0.796 0.844 0.735
Ba 0.296 0.656 0.735
Ba 0.969 0.344 0.735
Ba 0.531 0.844 0.265
Ba 0.204 0.156 0.265
Ba 0.704 0.344 0.265
Ba 0.031 0.656 0.265
Tl 0.130 0.370 0.000
Tl 0.870 0.630 0.000
Tl 0.370 0.870 0.000
Tl 0.630 0.130 0.000
Br 0.201 0.000 0.597
Br 0.701 0.500 0.597
Br 0.799 0.000 0.403
Br 0.299 0.500 0.403
CELL_PARAMETERS angstrom
-7.494 5.707 -0.623
-5.018 -6.000 5.402
-1.140 7.050 6.771
! - raw formation energy (eV/atom) = -0.9004
! - calculated volume (Å³/f.u.) = 387.5
! - total magnetic moment (μB per formula unit) = 0.00

---

No. 2
! NdLuCdIr | Alexandria | PBE | relaxed; values from VASP
&SYSTEM
  ibrav = 0, nat = 4, ntyp = 4
/
ATOMIC_SPECIES
Nd 144.24 Nd.upf
Ir 192.22 Ir.upf
Lu 174.97 Lu.upf
Cd 112.41 Cd.upf
ATOMIC_POSITIONS crystal
Nd 0.000 0.000 0.000
Ir 0.250 0.250 0.250
Lu 0.500 0.500 0.500
Cd 0.750 0.750 0.750
CELL_PARAMETERS angstrom
5.075 0.000 0.000
2.538 4.395 0.000
2.538 1.465 4.144
! - DFT formation energy (eV/atom) = -0.491
! - calculated volume (Å³/f.u.) = 92.4
! - total magnetic moment (μB per formula unit) = 0.00

---

Number 1: D(E_F) 7.17 states/eV/cell. Number 2: D(E_F) 2.66 states/eV/cell.